Here is an optimized crystal structure of GaBIN2 from Alexandria via LeMat-Bulk. Energies are from PBE.

For the energy relative to the lowest polymorph listed for this composition, the calculation gives 0.0 meV/atom. Its raw total energy is -19.60 eV per cell. As for the crystal system: tetragonal. The value obtained for the energy relative to the elements, uncorrected is 1.6618 eV/atom. Its total magnetization is 0.1 μB per formula unit.

a = 3.5411 Å, b = 3.5411 Å, c = 6.1279 Å
α = 90.00°, β = 90.00°, γ = 90.00°
With the nearest neighbours (Å) after each atom.
Fractional coordinates of all 5 atoms:
Ga 0.0000 0.0000 0.0000  4 I 2.50
B 0.5000 0.5000 0.5000  4 N 1.77
I 0.5000 0.5000 0.0000  4 Ga 2.50
N 0.0000 0.5000 0.5000  2 B 1.77
N 0.5000 0.0000 0.5000  2 B 1.77

Here is an optimized crystal structure of GaBIN2 from Alexandria via LeMat-Bulk. Energies are from PBE.

For the energy relative to the lowest polymorph listed for this composition, the calculation gives 201.7 meV/atom. Its raw total energy is -18.59 eV per cell. As for the crystal system: tetragonal. The value obtained for the energy relative to the elements, uncorrected is 1.8635 eV/atom. Its total magnetization is 0.7 μB per formula unit.

a = 3.7327 Å, b = 3.7327 Å, c = 7.1837 Å
α = 90.00°, β = 90.00°, γ = 90.00°
With the nearest neighbours (Å) after each atom.
Fractional coordinates of all 5 atoms:
Ga 0.0000 0.0000 0.0000  4 N 1.87
B 0.5000 0.5000 0.5000  4 I 2.64
I 0.0000 0.0000 0.5000  4 B 2.64
N 0.0000 0.5000 0.0000  2 Ga 1.87
N 0.5000 0.0000 0.0000  2 Ga 1.87

Here is an optimized crystal structure of GaBIN2 from Alexandria via LeMat-Bulk. Energies are from PBE.

For the energy relative to the lowest polymorph listed for this composition, the calculation gives 860.1 meV/atom. Its raw total energy is -15.30 eV per cell. As for the crystal system: tetragonal. The value obtained for the energy relative to the elements, uncorrected is 2.5218 eV/atom. Its total magnetization is 0.0 μB per formula unit.

a = 3.9737 Å, b = 3.9737 Å, c = 5.8752 Å
α = 90.00°, β = 90.00°, γ = 90.00°
With the nearest neighbours (Å) after each atom.
Fractional coordinates of all 5 atoms:
Ga 0.0000 0.0000 0.0000  4 B 2.81, 2 I 2.94
B 0.5000 0.5000 0.0000  4 Ga 2.81
I 0.0000 0.0000 0.5000  4 N 1.99
N 0.0000 0.5000 0.5000  2 I 1.99
N 0.5000 0.0000 0.5000  2 I 1.99

> What is the formula in the second record?

GaBIN2